A plane-wave DFT calculation with GGA-PBE was carried out for SrAs2Pd4 after structural relaxation.

Unit cell a=4.4881 b=4.4576 c=7.0541 alpha=108.42 beta=90.00 gamma=90.00
Closest atoms and distances in Å follow each position.
Positions (direct):
As1 0.5000 0.3972 0.7945  4 Pd 2.48-2.49, 1 As 2.75
As2 0.5000 0.6028 0.2055  4 Pd 2.48-2.49, 1 As 2.75
Sr1 0.0000 0.0000 0.0000  8 Pd 3.31-3.33, 8 As 3.45
Pd1 0.5000 0.1833 0.3667  2 As 2.48
Pd2 0.0000 0.6825 0.3651  2 As 2.49
Pd3 0.0000 0.3175 0.6349  2 As 2.49
Pd4 0.5000 0.8167 0.6333  2 As 2.48

total magnetic moment	0.000	μB per formula unit
relative energy among the computed polymorphs	0.29	eV per formula unit

---

A plane-wave DFT calculation with GGA-PBE was carried out for La2Nd4Er after structural relaxation.

Unit cell a=6.9241 b=9.2055 c=9.2055 alpha=78.81 beta=67.91 gamma=67.91
Closest atoms and distances in Å follow each position.
Positions (direct):
Nd1 0.8571 0.1521 0.1336  1 La 3.47, 5 Nd 3.56-3.79, 2 Er 3.56
Nd2 0.7679 0.7588 0.2588  1 Nd 3.09, 1 Er 3.22, 1 La 3.26
Nd3 0.1429 0.3664 0.3479  1 La 3.47, 5 Nd 3.56-3.79, 2 Er 3.56
Nd4 0.8571 0.6336 0.6521  1 La 3.47, 5 Nd 3.56-3.79, 2 Er 3.56
Nd5 0.2321 0.2412 0.7412  1 Nd 3.09, 1 Er 3.22, 1 La 3.26
Nd6 0.7856 0.2412 0.7412  1 Nd 3.09, 1 Er 3.22, 1 La 3.26
Nd7 0.1429 0.8479 0.8664  1 La 3.47, 5 Nd 3.56-3.79, 2 Er 3.56
Nd8 0.2144 0.7588 0.2588  1 Nd 3.09, 1 Er 3.22, 1 La 3.26
La1 0.2787 0.9713 0.4713  4 Nd 3.26-3.47, 2 La 3.53
La2 0.5000 0.5000 0.5000  8 Nd 3.50-3.89
La3 0.5000 0.0000 0.0000  8 Nd 3.50-3.89
La4 0.7213 0.0287 0.5287  4 Nd 3.26-3.47, 2 La 3.53
Er1 0.0000 0.5000 0.0000  6 Nd 3.22-3.56, 2 Er 3.46
Er2 0.5000 0.5000 0.0000  6 Nd 3.22-3.56, 2 Er 3.46

total magnetic moment	0.001	μB per formula unit
relative energy among the computed polymorphs	1.07	eV per formula unit

---

A plane-wave DFT calculation with GGA-PBE was carried out for Cs2KNaAu2 after structural relaxation.

Unit cell a=5.4033 b=8.8250 c=10.4316 alpha=90.00 beta=90.00 gamma=90.00
Closest atoms and distances in Å follow each position.
Positions (direct):
Au1 0.0000 0.7506 0.1759  2 Na 3.29, 3 Cs 3.44-3.65, 1 K 3.48
Au2 0.5000 0.7896 0.6143  2 Na 3.15-3.24
Au3 0.5000 0.2896 0.3857  2 Na 3.15-3.24
Au4 0.0000 0.2506 0.8241  2 Na 3.29, 3 Cs 3.44-3.65, 1 K 3.48
Cs1 0.5000 0.0160 0.1040  3 Au 3.65-3.80, 1 Na 4.02
Cs2 0.0000 0.3608 0.1721  4 Au 3.44-3.76
Cs3 0.5000 0.5160 0.8960  3 Au 3.65-3.80, 1 Na 4.02
Cs4 0.0000 0.8608 0.8279  4 Au 3.44-3.76
Na1 0.5000 0.1517 0.6647  4 Au 3.15-3.29
Na2 0.5000 0.6517 0.3353  4 Au 3.15-3.29
K1 0.0000 0.9769 0.4488  3 Au 3.48-3.61, 2 Na 3.84
K2 0.0000 0.4769 0.5512  3 Au 3.48-3.61, 2 Na 3.84

total magnetic moment	0.000	μB per formula unit
E	-1.968	eV/atom

---

A plane-wave DFT calculation with GGA-PBE was carried out for UPd2Pb2Se4 after structural relaxation.

Unit cell a=4.1257 b=7.8434 c=7.9724 alpha=113.86 beta=105.00 gamma=90.00
Closest atoms and distances in Å follow each position.
Positions (direct):
Se1 0.1988 0.2063 0.3977  3 Pd 2.74-2.79, 1 U 2.80, 2 Pb 3.02
Se2 0.5059 0.2578 0.0119  1 Pd 2.56, 2 U 2.86
Se3 0.8012 0.7937 0.6023  3 Pd 2.74-2.79, 1 U 2.80, 2 Pb 3.02
Se4 0.4941 0.7422 0.9881  1 Pd 2.56, 2 U 2.86
U1 0.0000 0.0000 0.0000  6 Se 2.80-2.86
Pd1 0.6726 0.9599 0.3453  4 Se 2.56-2.79
Pd2 0.3274 0.0401 0.6547  4 Se 2.56-2.79
Pb1 0.1431 0.6649 0.2862  3 Pd 2.99-3.12, 4 Se 3.02-3.33
Pb2 0.8569 0.3351 0.7138  3 Pd 2.99-3.12, 4 Se 3.02-3.33

total magnetic moment	1.995	μB per formula unit
uncorrected formation energy	-0.6405	eV per atom

---

A plane-wave DFT calculation with GGA-PBE was carried out for Sc2AlPRu after structural relaxation.

Unit cell a=4.8358 b=4.3510 c=4.8358 alpha=90.00 beta=90.00 gamma=90.00
Closest atoms and distances in Å follow each position.
Positions (direct):
Sc1 0.0000 0.0000 0.5000  2 P 2.42
Sc2 0.5000 0.0000 0.0000  2 P 2.42
Ru1 0.0000 0.5000 0.0000  2 P 2.18
P1 0.0000 0.0000 0.0000  2 Ru 2.18, 4 Sc 2.42
Al1 0.5000 0.5000 0.5000  8 Sc 3.25, 4 Ru 3.42

total magnetic moment	0.000	μB per formula unit
E	-6.552	eV/atom

---

A plane-wave DFT calculation with GGA-PBE was carried out for CdInPbCl5 after structural relaxation.

Unit cell a=7.8208 b=7.8208 c=10.2538 alpha=103.52 beta=103.52 gamma=107.25
Closest atoms and distances in Å follow each position.
Positions (direct):
Cl1 0.9252 0.3377 0.1277  1 Cd 2.51
Cl2 0.3377 0.9252 0.6277  1 Cd 2.51
Cl3 0.6129 0.7408 0.9459  1 Cd 2.51
Cl4 0.6623 0.0748 0.3723  1 Cd 2.51
Cl5 0.0748 0.6623 0.8723  1 Cd 2.51
Cl6 0.7408 0.6129 0.4459  1 Cd 2.51
Cl7 0.1011 0.8989 0.2500  2 Pb 2.86, 1 In 2.98
Cl8 0.2592 0.3871 0.5541  1 Cd 2.51
Cl9 0.3871 0.2592 0.0541  1 Cd 2.51
Cl10 0.8989 0.1011 0.7500  2 Pb 2.86, 1 In 2.98
Cd1 0.6804 0.3196 0.2500  4 Cl 2.51
Cd2 0.3196 0.6804 0.7500  4 Cl 2.51
Pb1 0.0000 0.0000 0.0000  6 Cl 2.86-2.95
Pb2 0.0000 0.0000 0.5000  6 Cl 2.86-2.95
In1 0.3377 0.6623 0.2500  3 Cl 2.98-3.19
In2 0.6623 0.3377 0.7500  3 Cl 2.98-3.19

total magnetic moment	0.000	μB per formula unit
uncorrected formation energy	-1.0311	eV per atom

---

A plane-wave DFT calculation with GGA-PBE was carried out for Li2Tb2SmBi2 after structural relaxation.

Unit cell a=4.9009 b=4.9009 c=9.3773 alpha=74.85 beta=74.85 gamma=60.00
Closest atoms and distances in Å follow each position.
Positions (direct):
Li1 0.4116 0.4116 0.7652  3 Bi 2.84, 3 Tb 3.17
Li2 0.5884 0.5884 0.2348  3 Bi 2.84, 3 Tb 3.17
Bi1 0.2641 0.2641 0.2078  3 Li 2.84
Bi2 0.7359 0.7359 0.7922  3 Li 2.84
Tb1 0.8687 0.8687 0.3939  3 Li 3.17, 3 Bi 3.28, 3 Tb 3.41, 1 Sm 3.52
Tb2 0.1313 0.1313 0.6061  3 Li 3.17, 3 Bi 3.28, 3 Tb 3.41, 1 Sm 3.52
Sm1 0.0000 0.0000 0.0000  6 Bi 3.38, 2 Tb 3.52, 6 Li 3.52

total magnetic moment	0.853	μB per formula unit
E	-4.059	eV/atom

---

A plane-wave DFT calculation with GGA-PBE was carried out for LiY2Pt2 after structural relaxation.

Unit cell a=7.6608 b=7.6608 c=3.7585 alpha=90.00 beta=90.00 gamma=90.00
Closest atoms and distances in Å follow each position.
Positions (direct):
Li1 0.5000 0.5000 0.0000  4 Pt 2.97
Li2 0.0000 0.0000 0.0000  4 Pt 2.97
Y1 0.6632 0.8368 0.5000  6 Pt 2.87-2.97
Y2 0.1632 0.6632 0.5000  6 Pt 2.87-2.97
Y3 0.3368 0.1632 0.5000  6 Pt 2.87-2.97
Y4 0.8368 0.3368 0.5000  6 Pt 2.87-2.97
Pt1 0.8634 0.6366 0.0000  6 Y 2.87-2.97, 1 Pt 2.96, 2 Li 2.97
Pt2 0.6366 0.1366 0.0000  6 Y 2.87-2.97, 1 Pt 2.96, 2 Li 2.97
Pt3 0.3634 0.8634 0.0000  6 Y 2.87-2.97, 1 Pt 2.96, 2 Li 2.97
Pt4 0.1366 0.3634 0.0000  6 Y 2.87-2.97, 1 Pt 2.96, 2 Li 2.97

total magnetic moment	0.000	μB per formula unit
relative energy among the computed polymorphs	0.07	eV per formula unit

---

A plane-wave DFT calculation with GGA-PBE was carried out for Np3Tl2RhO12 after structural relaxation.

Unit cell a=7.4903 b=7.4903 c=7.4903 alpha=63.48 beta=63.48 gamma=63.48
Closest atoms and distances in Å follow each position.
Positions (direct):
Rh1 0.0000 0.0000 0.0000  6 O 2.01
Np1 0.0000 0.0000 0.5000  6 O 1.96-2.12
Np2 0.5000 0.0000 0.0000  6 O 1.96-2.12
Np3 0.0000 0.5000 0.0000  6 O 1.96-2.12
O1 0.0535 0.6790 0.6790  2 Np 2.12
O2 0.6790 0.6790 0.0535  2 Np 2.12
O3 0.6790 0.0535 0.6790  2 Np 2.12
O4 0.6926 0.0601 0.0601  1 Np 1.96, 1 Rh 2.01
O5 0.3074 0.9399 0.9399  1 Np 1.96, 1 Rh 2.01
O6 0.9399 0.9399 0.3074  1 Np 1.96, 1 Rh 2.01
O7 0.0601 0.0601 0.6926  1 Np 1.96, 1 Rh 2.01
O8 0.3210 0.3210 0.9465  2 Np 2.12
O9 0.9399 0.3074 0.9399  1 Np 1.96, 1 Rh 2.01
O10 0.3210 0.9465 0.3210  2 Np 2.12
O11 0.9465 0.3210 0.3210  2 Np 2.12
O12 0.0601 0.6926 0.0601  1 Np 1.96, 1 Rh 2.01
Tl1 0.6533 0.6533 0.6533  6 O 3.18
Tl2 0.3467 0.3467 0.3467  6 O 3.18

total magnetic moment	1.988	μB per formula unit
uncorrected formation energy	-2.0857	eV per atom

---

A plane-wave DFT calculation with GGA-PBE was carried out for Pu4IrRu3 after structural relaxation.

Unit cell a=4.8537 b=4.8537 c=7.4645 alpha=108.97 beta=108.97 gamma=90.00
Closest atoms and distances in Å follow each position.
Positions (direct):
Ru1 0.0000 0.5000 0.0000  8 Pu 2.94, 2 Ru 3.27
Ru2 0.2465 0.7465 0.4930  8 Pu 2.91-2.97
Ru3 0.7535 0.2535 0.5070  8 Pu 2.91-2.97
Ir1 0.5000 0.0000 0.0000  8 Pu 2.94
Pu1 0.8753 0.8753 0.7505  6 Ru 2.91-2.97, 2 Ir 2.94
Pu2 0.3752 0.3752 0.7505  6 Ru 2.91-2.97, 2 Ir 2.94
Pu3 0.1247 0.1247 0.2495  6 Ru 2.91-2.97, 2 Ir 2.94
Pu4 0.6248 0.6248 0.2495  6 Ru 2.91-2.97, 2 Ir 2.94

total magnetic moment	17.804	μB per formula unit
E	-11.969	eV/atom

---

A plane-wave DFT calculation with GGA-PBE was carried out for Ga2HgBi2 after structural relaxation.

Unit cell a=4.8735 b=4.8735 c=7.0943 alpha=69.91 beta=69.91 gamma=90.00
Closest atoms and distances in Å follow each position.
Positions (direct):
Bi1 0.7500 0.2500 0.5000  4 Ga 3.03
Bi2 0.2500 0.7500 0.5000  4 Ga 3.03
Ga1 0.6042 0.6042 0.7916  1 Ga 2.59
Ga2 0.3958 0.3958 0.2084  1 Ga 2.59
Hg1 0.0000 0.0000 0.0000  8 Ga 3.68, 8 Bi 3.94

total magnetic moment	0.000	μB per formula unit
relative energy among the computed polymorphs	0.25	eV per formula unit